This record from Alexandria describes a geometry-optimized Pr2PuTl3S6 structure. The functional is GGA-PBE.

a b c (Å): 7.2471 7.2471 7.8450
angles (deg): 98.86 98.86 120.00
With the nearest neighbours (Å) after each atom.
Fractional positions:
1 S 0.2571 0.2571 0.7958  1 Pu 2.81, 2 Pr 2.88
2 Pr 0.6667 0.3333 0.0000  6 S 2.87-2.88
3 Pr 0.3333 0.6667 0.0000  6 S 2.87-2.88
4 Pu 0.0000 0.0000 0.0000  6 S 2.80-2.81
5 S 0.0674 0.3925 0.2022  1 Pu 2.80, 2 Pr 2.87
6 S 0.3925 0.0674 0.2022  1 Pu 2.80, 2 Pr 2.87
7 S 0.7429 0.7429 0.2042  1 Pu 2.81, 2 Pr 2.88
8 Tl 0.8327 0.1673 0.5000  6 S 3.26-3.32
9 S 0.6075 0.9326 0.7978  1 Pu 2.80, 2 Pr 2.87
10 S 0.9326 0.6075 0.7978  1 Pu 2.80, 2 Pr 2.87
11 Tl 0.5000 0.5000 0.5000  6 S 3.26-3.32
12 Tl 0.1673 0.8327 0.5000  6 S 3.26-3.32

Summary:
Its formation energy without anion corrections is -16.20 eV/f.u.

This record from Alexandria describes a geometry-optimized BeRe2Hg structure. The functional is GGA-PBE.

a b c (Å): 3.7608 3.7608 9.8237
angles (deg): 78.96 78.96 90.00
With the nearest neighbours (Å) after each atom.
Fractional positions:
1 Hg 0.0000 0.0000 0.0000  4 Be 2.66, 4 Re 2.78
2 Re 0.3750 0.4261 0.7500  2 Re 2.40, 2 Be 2.65
3 Re 0.8750 0.8239 0.7500  2 Re 2.40, 2 Be 2.65
4 Be 0.2500 0.7500 0.5000  4 Re 2.65, 4 Hg 2.66
5 Hg 0.7500 0.2500 0.5000  4 Be 2.66, 4 Re 2.78
6 Re 0.1761 0.6250 0.2500  2 Re 2.40, 2 Be 2.65
7 Re 0.5739 0.1250 0.2500  2 Re 2.40, 2 Be 2.65
8 Be 0.5000 0.5000 0.0000  4 Re 2.65, 4 Hg 2.66

Summary:
As for the energy relative to the lowest polymorph listed for this composition: 621 meV per atom. Its energy relative to the elements is 0.87 eV/atom.

This record from Alexandria describes a geometry-optimized Na4Pu3GaSe8 structure. The functional is GGA-PBE.

a b c (Å): 8.3507 8.4034 8.3505
angles (deg): 119.81 120.00 90.00
With the nearest neighbours (Å) after each atom.
Fractional positions:
1 Se 0.2516 0.2779 0.0146  1 Ga 2.81, 2 Pu 2.88, 3 Na 3.05-3.12
2 Pu 0.5000 0.5000 0.0000  6 Se 2.88-2.89
3 Pu 0.0000 0.5000 0.5000  6 Se 2.88-2.89
4 Na 0.0000 0.0000 0.0000  6 Se 3.04-3.06
5 Na 0.5000 0.0000 0.0000  6 Se 3.12
6 Ga 0.0000 0.5000 0.0000  6 Se 2.81
7 Se 0.2370 0.7221 0.9854  1 Ga 2.81, 2 Pu 2.88, 3 Na 3.05-3.12
8 Na 0.5000 0.0000 0.5000  6 Se 3.04-3.06
9 Se 0.7630 0.2779 0.0146  1 Ga 2.81, 2 Pu 2.88, 3 Na 3.05-3.12
10 Se 0.7437 0.7310 0.4874  3 Pu 2.89, 3 Na 3.04
11 Na 0.0000 0.0000 0.5000  6 Se 3.04-3.06
12 Se 0.2370 0.7222 0.4740  1 Ga 2.81, 2 Pu 2.88, 3 Na 3.06-3.12
13 Se 0.7484 0.7221 0.9854  1 Ga 2.81, 2 Pu 2.88, 3 Na 3.05-3.12
14 Se 0.2563 0.2690 0.5126  3 Pu 2.89, 3 Na 3.04
15 Se 0.7630 0.2778 0.5260  1 Ga 2.81, 2 Pu 2.88, 3 Na 3.06-3.12
16 Pu 0.5000 0.5000 0.5000  6 Se 2.88-2.89

Summary:
Its formation energy without anion corrections is -19.44 eV/f.u.

This record from Alexandria describes a geometry-optimized Mn2ZnBr structure. The functional is GGA-PBE.

a b c (Å): 6.6340 6.6340 6.6340
angles (deg): 152.93 144.75 45.00
With the nearest neighbours (Å) after each atom.
Fractional positions:
1 Mn 0.0101 0.0101 0.0000  4 Zn 2.60, 2 Mn 2.75, 2 Br 2.80
2 Mn 0.8249 0.3249 0.5000  2 Zn 2.65, 2 Mn 2.75
3 Br 0.1998 0.6998 0.5000  6 Mn 2.80-2.97, 2 Br 3.10
4 Zn 0.4653 0.4653 0.0000  6 Mn 2.60-2.65

Summary:
Its formation energy without anion corrections is 1.09 eV/f.u. As for the energy relative to the lowest polymorph listed for this composition: 76 meV per atom.

This record from Alexandria describes a geometry-optimized MnTl2Rh structure. The functional is GGA-PBE.

a b c (Å): 8.8259 8.8259 8.8259
angles (deg): 21.28 21.28 21.28
With the nearest neighbours (Å) after each atom.
Fractional positions:
1 Rh 0.7500 0.7500 0.7500  6 Tl 2.80
2 Tl 0.0032 0.0032 0.0032  3 Rh 2.80, 3 Mn 2.92
3 Mn 0.2500 0.2500 0.2500  6 Tl 2.92, 6 Mn 3.26
4 Tl 0.4968 0.4968 0.4968  3 Rh 2.80, 3 Mn 2.92

Summary:
As for the energy relative to the lowest polymorph listed for this composition: 214 meV per atom. Its energy relative to the elements is 0.39 eV/atom.

This record from Alexandria describes a geometry-optimized CoC4 structure. The functional is GGA-PBE.

a b c (Å): 3.6670 3.6670 3.6670
angles (deg): 90.00 90.00 90.00
With the nearest neighbours (Å) after each atom.
Fractional positions:
1 C 0.0000 0.5000 0.5000  2 Co 1.83
2 C 0.5000 0.5000 0.0000  2 Co 1.83
3 C 0.5000 0.0000 0.5000  2 Co 1.83
4 Co 0.5000 0.5000 0.5000  6 C 1.83
5 C 0.0000 0.0000 0.0000  12 C 2.59

Summary:
As for the energy relative to the lowest polymorph listed for this composition: 2547 meV per atom. Its energy relative to the elements is 3.23 eV/atom.

no.,total magnetization (μB/f.u.),D(E_F) (states/eV/f.u.)
1,5.00,11.6
2,0.00,2.7
3,14.36,31.3
4,7.57,3.2
5,3.59,3.3
6,0.03,3.0